# 1
LiBiIN2 | PBE | optimized geometry

abc: 4.4654 4.4654 5.0181
angles: 90.00 90.00 90.00
With the nearest neighbours (Å) after each atom.
Positions (direct):
1 Li 0.0000 0.0000 0.0000  4 N 2.23
2 Bi 0.5000 0.5000 0.5000  4 I 3.16, 8 N 3.36
3 I 0.0000 0.0000 0.5000  2 Li 2.51
4 N 0.0000 0.5000 0.0000  2 Li 2.23
5 N 0.5000 0.0000 0.0000  2 Li 2.23

Results
* size of the total moment: 3.215 μB/cell
* Fermi-level density of states: 0.46 states/eV/atom
* density: 6.15 g/cm³
* space-group type: P4/mmm (123)
* E: -3.28 eV/atom
* formation energy (no corrections): 1.5202 eV per atom

---

# 2
RbSrNbZn2 | PBE | optimized geometry

abc: 5.6166 5.6166 6.4286
angles: 90.00 90.00 90.00
With the nearest neighbours (Å) after each atom.
Positions (direct):
1 Rb 0.0000 0.0000 0.0000  4 Zn 2.81
2 Sr 0.0000 0.0000 0.5000  2 Rb 3.21
3 Nb 0.5000 0.5000 0.5000  4 Sr 3.97, 8 Zn 4.27
4 Zn 0.0000 0.5000 0.0000  2 Rb 2.81
5 Zn 0.5000 0.0000 0.0000  2 Rb 2.81

Results
* size of the total moment: 4.038 μB/cell
* Fermi-level density of states: 0.57 states/eV/atom
* density: 3.25 g/cm³
* ΔH_f (0 K): 1.673 eV/atom
* space-group type: P4/mmm (123)
* E: -1.38 eV/atom

---

# 3
Nd3Hg | PBE | optimized geometry

abc: 3.7880 11.6820 5.7245
angles: 90.00 90.00 90.00
With the nearest neighbours (Å) after each atom.
Positions (direct):
1 Nd 0.0000 0.0000 0.0000  4 Hg 3.26-3.61, 2 Nd 3.54
2 Nd 0.0000 0.2188 0.5730  2 Hg 3.24, 5 Nd 3.51-3.54
3 Nd 0.0000 0.7812 0.5730  2 Hg 3.24, 5 Nd 3.51-3.54
4 Nd 0.5000 0.2812 0.0730  2 Hg 3.24, 5 Nd 3.51-3.54
5 Nd 0.5000 0.5000 0.5000  4 Hg 3.26-3.61, 2 Nd 3.54
6 Nd 0.5000 0.7188 0.0730  2 Hg 3.24, 5 Nd 3.51-3.54
7 Hg 0.0000 0.5000 0.9628  8 Nd 3.24-3.61
8 Hg 0.5000 0.0000 0.4628  8 Nd 3.24-3.61

Results
* size of the total moment: 0.000 μB/cell
* Fermi-level density of states: 1.12 states/eV/atom
* density: 8.30 g/cm³
* ΔH_f (0 K): -0.217 eV/atom
* space-group type: Imm2 (44)
* E: -3.87 eV/atom

---

# 4
Cs2Np2AgS6 | PBE | optimized geometry

abc: 6.9808 6.9808 8.4922
angles: 96.69 96.69 122.17
With the nearest neighbours (Å) after each atom.
Positions (direct):
1 Cs 0.1555 0.8445 0.0000  6 S 3.48-3.55, 1 Cs 3.80
2 Cs 0.8445 0.1555 0.0000  6 S 3.48-3.55, 1 Cs 3.80
3 Np 0.3360 0.6640 0.5000  6 S 2.63-2.67
4 Np 0.6640 0.3360 0.5000  6 S 2.63-2.67
5 Ag 0.0000 0.0000 0.5000  6 S 2.72-2.96
6 S 0.0495 0.4185 0.6795  2 Np 2.63-2.66
7 S 0.2920 0.2920 0.3285  2 Np 2.67, 1 Ag 2.72
8 S 0.4185 0.0495 0.6795  2 Np 2.63-2.66
9 S 0.5815 0.9505 0.3205  2 Np 2.63-2.66
10 S 0.7080 0.7080 0.6715  2 Np 2.67, 1 Ag 2.72
11 S 0.9505 0.5815 0.3205  2 Np 2.63-2.66

Results
* size of the total moment: 5.000 μB/cell
* Fermi-level density of states: 1.63 states/eV/atom
* density: 5.08 g/cm³
* space-group type: C2/m (12)
* E: -6.13 eV/atom
* formation energy (no corrections): -1.1104 eV per atom

---

# 5
Tb4CdIr2Rh | PBE | optimized geometry

abc: 8.6077 8.6077 8.6077
angles: 33.53 33.53 33.53
With the nearest neighbours (Å) after each atom.
Positions (direct):
1 Tb 0.1195 0.1195 0.1195  1 Rh 2.91, 4 Ir 2.99-3.14, 3 Cd 3.09
2 Tb 0.3707 0.3707 0.3707  4 Ir 2.97-3.09, 3 Rh 3.01, 1 Cd 3.15
3 Tb 0.6293 0.6293 0.6293  4 Ir 2.97-3.09, 3 Rh 3.01, 1 Cd 3.15
4 Tb 0.8805 0.8805 0.8805  1 Rh 2.91, 4 Ir 2.99-3.14, 3 Cd 3.09
5 Cd 0.5000 0.5000 0.5000  8 Tb 3.09-3.15
6 Ir 0.2487 0.2487 0.2487  8 Tb 2.97-3.14
7 Ir 0.7513 0.7513 0.7513  8 Tb 2.97-3.14
8 Rh 0.0000 0.0000 0.0000  8 Tb 2.91-3.01

Results
* size of the total moment: 0.000 μB/cell
* Fermi-level density of states: 0.48 states/eV/atom
* density: 11.84 g/cm³
* ΔH_f (0 K): -0.692 eV/atom
* space-group type: R-3m (166)
* E: -6.26 eV/atom

---

# 6
YNb2AlTc | PBE | optimized geometry

abc: 4.8475 4.8475 4.8370
angles: 90.00 90.00 90.00
With the nearest neighbours (Å) after each atom.
Positions (direct):
1 Y 0.0000 0.0000 0.0000  8 Nb 3.42, 4 Al 3.43
2 Nb 0.0000 0.5000 0.5000  2 Tc 2.42
3 Nb 0.5000 0.0000 0.5000  2 Tc 2.42
4 Al 0.5000 0.5000 0.0000  2 Tc 2.42
5 Tc 0.5000 0.5000 0.5000  2 Al 2.42, 4 Nb 2.42

Results
* size of the total moment: 0.000 μB/cell
* Fermi-level density of states: 1.12 states/eV/atom
* density: 5.84 g/cm³
* ΔH_f (0 K): 0.472 eV/atom
* space-group type: P4/mmm (123)
* E: -7.67 eV/atom

---

# 7
Li4LaFe | PBE | optimized geometry

abc: 5.4416 5.4416 5.4416
angles: 60.00 60.00 60.00
With the nearest neighbours (Å) after each atom.
Positions (direct):
1 Li 0.1216 0.1216 0.1216  6 Li 2.65-2.79
2 Li 0.1216 0.1216 0.6352  6 Li 2.65-2.79
3 Li 0.1216 0.6352 0.1216  6 Li 2.65-2.79
4 Li 0.6352 0.1216 0.1216  6 Li 2.65-2.79
5 La 0.5000 0.5000 0.5000  12 Li 3.20, 4 Fe 3.33
6 Fe 0.7500 0.7500 0.7500  12 Li 3.18, 4 La 3.33

Results
* size of the total moment: 2.507 μB/cell
* Fermi-level density of states: 1.25 states/eV/atom
* density: 3.24 g/cm³
* ΔH_f (0 K): 0.302 eV/atom
* space-group type: F-43m (216)
* E: -3.21 eV/atom

---

# 8
Cs2GeRhW | PBE | optimized geometry

abc: 6.9821 6.9821 4.9866
angles: 90.00 90.00 90.00
With the nearest neighbours (Å) after each atom.
Positions (direct):
1 Cs 0.0000 0.5000 0.0000  2 W 3.49
2 Cs 0.5000 0.0000 0.0000  2 W 3.49
3 Ge 0.0000 0.0000 0.5000  2 W 2.49
4 Rh 0.5000 0.5000 0.5000  8 Cs 4.29
5 W 0.0000 0.0000 0.0000  2 Ge 2.49

Results
* size of the total moment: 1.156 μB/cell
* Fermi-level density of states: 1.23 states/eV/atom
* density: 4.27 g/cm³
* ΔH_f (0 K): 1.676 eV/atom
* space-group type: P4/mmm (123)
* E: -3.65 eV/atom

---

# 9
Ce4GeBi5 | PBE | optimized geometry

abc: 9.3996 9.3996 8.4899
angles: 110.82 110.82 28.26
With the nearest neighbours (Å) after each atom.
Positions (direct):
1 Ce 0.0388 0.0388 0.2510  2 Ge 3.03, 4 Bi 3.16-3.37
2 Ce 0.3470 0.3470 0.0526  1 Ge 2.98, 4 Bi 3.22-3.34
3 Ce 0.6530 0.6530 0.9474  1 Ge 2.98, 4 Bi 3.22-3.34
4 Ce 0.9612 0.9612 0.7490  2 Ge 3.03, 4 Bi 3.16-3.37
5 Ge 0.5000 0.5000 0.0000  6 Ce 2.98-3.03
6 Bi 0.1494 0.1494 0.6593  3 Ce 3.31-3.34, 4 Bi 3.32-3.44
7 Bi 0.2089 0.2089 0.2325  4 Ce 3.16-3.39, 2 Bi 3.32
8 Bi 0.5000 0.5000 0.5000  4 Ce 3.37, 4 Bi 3.44
9 Bi 0.7911 0.7911 0.7675  4 Ce 3.16-3.39, 2 Bi 3.32
10 Bi 0.8506 0.8506 0.3407  3 Ce 3.31-3.34, 4 Bi 3.32-3.44

Results
* size of the total moment: 3.094 μB/cell
* Fermi-level density of states: 2.59 states/eV/atom
* density: 8.43 g/cm³
* ΔH_f (0 K): -0.473 eV/atom
* space-group type: C2/m (12)
* E: -5.25 eV/atom

---

# 10
ZnH6Rh2 | PBE | optimized geometry

abc: 7.6892 7.6892 4.0512
angles: 90.00 90.00 120.00
With the nearest neighbours (Å) after each atom.
Positions (direct):
1 Zn 0.0000 0.0000 0.0000  6 H 1.99
2 Zn 0.3333 0.6667 0.6530  3 H 1.85
3 Zn 0.6667 0.3333 0.3470  3 H 1.85
4 H 0.1069 0.2456 0.2775  2 Rh 1.74-1.84
5 H 0.1142 0.5587 0.2525  2 Rh 1.72-1.79
6 H 0.1387 0.8931 0.2775  2 Rh 1.74-1.84
7 H 0.1788 0.7715 0.8124  2 Rh 1.74-1.75, 1 Zn 1.85
8 H 0.2285 0.4073 0.8124  2 Rh 1.74-1.75, 1 Zn 1.85
9 H 0.2456 0.1069 0.7225  2 Rh 1.74-1.84
10 H 0.4073 0.2285 0.1876  2 Rh 1.74-1.75, 1 Zn 1.85
11 H 0.4413 0.5555 0.2525  2 Rh 1.72-1.79
12 H 0.4445 0.8858 0.2525  2 Rh 1.72-1.79
13 H 0.5555 0.4413 0.7475  2 Rh 1.72-1.79
14 H 0.5587 0.1142 0.7475  2 Rh 1.72-1.79
15 H 0.5927 0.8212 0.8124  2 Rh 1.74-1.75, 1 Zn 1.85
16 H 0.7544 0.8613 0.2775  2 Rh 1.74-1.84
17 H 0.7715 0.1788 0.1876  2 Rh 1.74-1.75, 1 Zn 1.85
18 H 0.8212 0.5927 0.1876  2 Rh 1.74-1.75, 1 Zn 1.85
19 H 0.8613 0.7544 0.7225  2 Rh 1.74-1.84
20 H 0.8858 0.4445 0.7475  2 Rh 1.72-1.79
21 H 0.8931 0.1387 0.7225  2 Rh 1.74-1.84
22 Rh 0.0000 0.3381 0.0000  6 H 1.74-1.79
23 Rh 0.0000 0.6537 0.5000  6 H 1.72-1.84
24 Rh 0.3381 0.0000 0.0000  6 H 1.74-1.79
25 Rh 0.3463 0.3463 0.5000  6 H 1.72-1.84
26 Rh 0.6537 0.0000 0.5000  6 H 1.72-1.84
27 Rh 0.6619 0.6619 0.0000  6 H 1.74-1.79

Results
* size of the total moment: 0.000 μB/cell
* Fermi-level density of states: 0.14 states/eV/atom
* density: 6.66 g/cm³
* space-group type: P321 (150)
* E: -3.97 eV/atom

---

# 11
GePt2O | PBE | optimized geometry

abc: 4.6409 4.6409 12.7819
angles: 90.00 90.00 90.00
With the nearest neighbours (Å) after each atom.
Positions (direct):
1 Ge 0.0000 0.0000 0.0000  4 Pt 2.50
2 Ge 0.0000 0.5000 0.2500  4 Pt 2.50
3 Ge 0.5000 0.0000 0.7500  4 Pt 2.50
4 Ge 0.5000 0.5000 0.5000  4 Pt 2.50
5 Pt 0.1706 0.2500 0.6250  2 O 2.13
6 Pt 0.2500 0.6706 0.8750  2 O 2.13
7 Pt 0.2500 0.8294 0.3750  2 O 2.13
8 Pt 0.3294 0.2500 0.1250  2 O 2.13
9 Pt 0.6706 0.7500 0.1250  2 O 2.13
10 Pt 0.7500 0.1706 0.3750  2 O 2.13
11 Pt 0.7500 0.3294 0.8750  2 O 2.13
12 Pt 0.8294 0.7500 0.6250  2 O 2.13
13 O 0.0000 0.0000 0.5000  4 Pt 2.13
14 O 0.0000 0.5000 0.7500  4 Pt 2.13
15 O 0.5000 0.0000 0.2500  4 Pt 2.13
16 O 0.5000 0.5000 0.0000  4 Pt 2.13

Results
* size of the total moment: 0.000 μB/cell
* Fermi-level density of states: 0.19 states/eV/atom
* density: 11.55 g/cm³
* space-group type: I-42d (122)
* E: -5.43 eV/atom
* formation energy (no corrections): -0.0178 eV per atom

---

# 12
La6Ni2Os | PBE | optimized geometry

abc: 6.8455 7.4358 12.2966
angles: 90.00 119.91 90.00
With the nearest neighbours (Å) after each atom.
Positions (direct):
1 La 0.0828 0.0628 0.2470  1 Os 2.84, 2 Ni 2.87-2.97
2 La 0.0828 0.4372 0.7470  1 Os 2.84, 2 Ni 2.87-2.97
3 La 0.2597 0.6798 0.0842  1 Os 2.84, 2 Ni 2.91-3.07
4 La 0.2597 0.8202 0.5842  1 Os 2.84, 2 Ni 2.91-3.07
5 La 0.4021 0.1811 0.0717  1 Os 2.78, 1 Ni 2.85
6 La 0.4021 0.3189 0.5717  1 Os 2.78, 1 Ni 2.85
7 La 0.5979 0.6811 0.4283  1 Os 2.78, 1 Ni 2.85
8 La 0.5979 0.8189 0.9283  1 Os 2.78, 1 Ni 2.85
9 La 0.7403 0.1798 0.4158  1 Os 2.84, 2 Ni 2.91-3.07
10 La 0.7403 0.3202 0.9158  1 Os 2.84, 2 Ni 2.91-3.07
11 La 0.9172 0.5628 0.2530  1 Os 2.84, 2 Ni 2.87-2.97
12 La 0.9172 0.9372 0.7530  1 Os 2.84, 2 Ni 2.87-2.97
13 Ni 0.3290 0.1102 0.7776  5 La 2.85-3.07
14 Ni 0.3290 0.3898 0.2776  5 La 2.85-3.07
15 Ni 0.6710 0.6102 0.7224  5 La 2.85-3.07
16 Ni 0.6710 0.8898 0.2224  5 La 2.85-3.07
17 Os 0.0000 0.0000 0.0000  6 La 2.78-2.84
18 Os 0.0000 0.5000 0.5000  6 La 2.78-2.84

Results
* size of the total moment: 0.000 μB/cell
* Fermi-level density of states: 1.04 states/eV/atom
* density: 6.98 g/cm³
* ΔH_f (0 K): -0.186 eV/atom
* space-group type: P2_1/c (14)
* E: -6.00 eV/atom